PBE-GGA BeFe2Se, optimized geometry; symmetry = P4/mmm, No. 123; uncorrected formation energy = 0.252 eV/atom
1.0
-1.656 0.642 3.178
-0.368 -3.585 0.533
3.224 -0.078 1.696
Be Fe Se
1 2 1
direct
0.500 0.000 0.500
0.000 0.000 0.000
0.000 0.500 0.500
0.500 0.500 0.000



PBE-GGA Cs3BS4, optimized geometry; symmetry = Immm, No. 71; uncorrected formation energy = -0.533 eV/atom
1.0
-2.917 -2.823 3.602
-5.445 -0.778 -5.018
7.215 -4.324 -1.635
Cs S B
3 4 1
direct
0.786 0.786 0.571
0.214 0.214 0.429
0.000 0.500 0.000
0.593 0.901 0.186
0.407 0.099 0.814
0.407 0.714 0.814
0.593 0.286 0.186
0.500 0.000 0.000



PBE-GGA Ce3Y, optimized geometry; symmetry = I4/mmm, No. 139; ΔH_f (0 K) = 0.117 eV/atom
1.0
-1.139 -4.537 1.122
1.726 0.664 4.441
-4.738 3.425 -1.276
Y Ce
1 3
direct
0.000 0.000 0.000
0.750 0.250 0.500
0.250 0.750 0.500
0.500 0.500 0.000



| no. | V (A^3/atom) |
| --- | --- |
| 1 | 12.1 |
| 2 | 36.5 |
| 3 | 28.5 |